Record 1
GaFe5Ge2 after structural relaxation. Source: the Alexandria database, functional PBE.

The structure in POSCAR format:
```
GaFe5Ge2
1.0
5.707 0.000 0.000
0.000 5.707 0.000
0.000 0.000 5.725
Ga Fe Ge
2 10 4
direct
0.000 0.000 0.000
0.500 0.500 0.500
0.000 0.000 0.500
0.250 0.250 0.250
0.250 0.250 0.750
0.250 0.750 0.250
0.250 0.750 0.750
0.500 0.500 0.000
0.750 0.250 0.250
0.750 0.250 0.750
0.750 0.750 0.250
0.750 0.750 0.750
0.000 0.500 0.000
0.000 0.500 0.500
0.500 0.000 0.000
0.500 0.000 0.500
```

Results
energy of formation from the pure elements: -34.6 kJ/mol of formula units
magnetic moment: 6.39 μB per cell
raw total energy: -6.867 eV/atom
space group: I4/mmm
DOS(E_F): 0.676 states/eV per atom

=====

Record 2
FeAgRh after structural relaxation. Source: the Alexandria database, functional PBE.

The structure in POSCAR format:
```
FeAgRh
1.0
10.906 0.000 0.000
0.000 2.934 0.000
-0.784 0.000 2.827
Fe Ag Rh
2 2 2
direct
0.000 0.000 0.000
0.500 0.500 0.000
0.325 0.000 0.325
0.825 0.500 0.325
0.135 0.500 0.636
0.635 0.000 0.636
```

Results
energy of formation from the pure elements: 50.4 kJ/mol of formula units
magnetic moment: 7.61 μB per cell
energy relative to the lowest polymorph listed for this composition: 1 kJ/mol of formula units
raw total energy: -6.048 eV/atom
space group: Cm
DOS(E_F): 0.846 states/eV per atom

=====

Record 3
AgP2Ir after structural relaxation. Source: the Alexandria database, functional PBE.

The structure in POSCAR format:
```
AgP2Ir
1.0
4.457 0.000 0.000
0.000 4.457 0.000
0.000 0.000 3.038
Ag P Ir
1 2 1
direct
0.000 0.000 0.000
0.000 0.500 0.500
0.500 0.000 0.500
0.500 0.500 0.000
```

Results
energy of formation from the pure elements: 159.2 kJ/mol of formula units
magnetic moment: 0.00 μB per cell
energy relative to the lowest polymorph listed for this composition: 178 kJ/mol of formula units
raw total energy: -5.221 eV/atom
space group: P4/mmm
DOS(E_F): 0.578 states/eV per atom

=====

Record 4
Li6Mg2Tl after structural relaxation. Source: the Alexandria database, functional PBE.

The structure in POSCAR format:
```
Li6Mg2Tl
1.0
3.161 0.000 0.000
0.000 7.234 4.119
0.000 -7.234 4.119
Li Mg Tl
6 2 1
direct
0.000 0.000 0.000
0.000 0.411 0.706
0.000 0.706 0.411
0.500 0.061 0.706
0.500 0.345 0.345
0.500 0.706 0.061
0.000 0.038 0.373
0.000 0.373 0.038
0.500 0.703 0.703
```

Results
energy of formation from the pure elements: -57.0 kJ/mol of formula units
magnetic moment: 0.00 μB per cell
energy relative to the lowest polymorph listed for this composition: 32 kJ/mol of formula units
raw total energy: -1.959 eV/atom
space group: Amm2
DOS(E_F): 0.584 states/eV per atom